No. 1
# Ba3NpGe2N6

Crystalline Ba3NpGe2N6 at its relaxed geometry (PBE, the Alexandria database).

Cell: 6.0208 6.0208 7.1602 Å, 90.00 90.00 120.00°
Element x y z (fractional)
Ba (0.0000, 0.0000, 0.0000)
Ba (0.3333, 0.6667, 0.6623)
Ba (0.6667, 0.3333, 0.3377)
Np (0.0000, 0.0000, 0.5000)
Ge (0.3333, 0.6667, 0.2080)
Ge (0.6667, 0.3333, 0.7920)
N (0.1670, 0.3340, 0.3267)
N (0.1670, 0.8330, 0.3267)
N (0.3340, 0.1670, 0.6733)
N (0.6660, 0.8330, 0.3267)
N (0.8330, 0.1670, 0.6733)
N (0.8330, 0.6660, 0.6733)

Values from the calculation:
* energy relative to the elements, uncorrected: -7.42 eV per formula unit
* energy: -7.11 eV/atom

---

No. 2
# BaGeNO2

Crystalline BaGeNO2 at its relaxed geometry (PBE, the Alexandria database).

Cell: 4.0654 4.0654 3.9469 Å, 90.00 90.00 90.00°
Element x y z (fractional)
Ba (0.0000, 0.0000, 0.0000)
Ge (0.5000, 0.5000, 0.5000)
N (0.5000, 0.5000, 0.0000)
O (0.0000, 0.5000, 0.5000)
O (0.5000, 0.0000, 0.5000)

Values from the calculation:
* energy relative to the elements, uncorrected: -5.66 eV per formula unit
* energy: -6.09 eV/atom

---

No. 3
# BaGeNO2

Crystalline BaGeNO2 at its relaxed geometry (PBE, the Alexandria database).

Cell: 4.5349 4.5349 4.7546 Å, 90.00 90.00 90.00°
Element x y z (fractional)
Ba (0.0000, 0.0000, 0.0000)
Ge (0.5000, 0.5000, 0.5000)
N (0.0000, 0.0000, 0.5000)
O (0.0000, 0.5000, 0.0000)
O (0.5000, 0.0000, 0.0000)

Values from the calculation:
* energy relative to the elements, uncorrected: 3.85 eV per formula unit
* energy: -4.19 eV/atom

---

No. 4
# BaGe3P4N12

Crystalline BaGe3P4N12 at its relaxed geometry (PBE, the Alexandria database).

Cell: 6.4733 6.4733 6.4733 Å, 104.29 104.29 104.29°
Element x y z (fractional)
Ba (0.0000, 0.0000, 0.0000)
Ge (0.0000, 0.5613, 0.4387)
Ge (0.4387, 0.0000, 0.5613)
Ge (0.5613, 0.4387, 0.0000)
P (0.0645, 0.5000, 0.9355)
P (0.5000, 0.5000, 0.5000)
P (0.5000, 0.9355, 0.0645)
P (0.9355, 0.0645, 0.5000)
N (0.0240, 0.6162, 0.7524)
N (0.0918, 0.9082, 0.5000)
N (0.2476, 0.3838, 0.9760)
N (0.3443, 0.6557, 0.5000)
N (0.3838, 0.9760, 0.2476)
N (0.5000, 0.0918, 0.9082)
N (0.5000, 0.3443, 0.6557)
N (0.6162, 0.7524, 0.0240)
N (0.6557, 0.5000, 0.3443)
N (0.7524, 0.0240, 0.6162)
N (0.9082, 0.5000, 0.0918)
N (0.9760, 0.2476, 0.3838)

Values from the calculation:
* energy relative to the elements, uncorrected: 2.25 eV per formula unit
* energy: -6.75 eV/atom

---

No. 5
# Ba2GeP2N6

Crystalline Ba2GeP2N6 at its relaxed geometry (PBE, the Alexandria database).

Cell: 5.5835 5.5835 6.5300 Å, 111.84 111.84 59.05°
Element x y z (fractional)
Ba (0.2059, 0.2059, 0.1504)
Ba (0.7941, 0.7941, 0.8496)
Ge (0.0000, 0.0000, 0.5000)
P (0.4149, 0.4149, 0.6968)
P (0.5851, 0.5851, 0.3032)
N (0.2444, 0.7376, 0.2702)
N (0.2453, 0.2453, 0.6663)
N (0.2624, 0.7556, 0.7298)
N (0.7376, 0.2444, 0.2702)
N (0.7547, 0.7547, 0.3337)
N (0.7556, 0.2624, 0.7298)

Values from the calculation:
* energy relative to the elements, uncorrected: -4.41 eV per formula unit
* energy: -6.70 eV/atom

---

No. 6
# BaGeP2N6

Crystalline BaGeP2N6 at its relaxed geometry (PBE, the Alexandria database).

Cell: 6.7141 6.7141 5.7036 Å, 103.04 103.04 100.51°
Element x y z (fractional)
Ba (0.1834, 0.8166, 0.7500)
Ba (0.8166, 0.1834, 0.2500)
Ge (0.3151, 0.6849, 0.2500)
Ge (0.6849, 0.3151, 0.7500)
P (0.1750, 0.3120, 0.8350)
P (0.3120, 0.1750, 0.3350)
P (0.6880, 0.8250, 0.6650)
P (0.8250, 0.6880, 0.1650)
N (0.0363, 0.6110, 0.2505)
N (0.1750, 0.2053, 0.0702)
N (0.2053, 0.1750, 0.5702)
N (0.3890, 0.9637, 0.2495)
N (0.3940, 0.5288, 0.9682)
N (0.4712, 0.6060, 0.5318)
N (0.5288, 0.3940, 0.4682)
N (0.6060, 0.4712, 0.0318)
N (0.6110, 0.0363, 0.7505)
N (0.7947, 0.8250, 0.4298)
N (0.8250, 0.7947, 0.9298)
N (0.9637, 0.3890, 0.7495)

Values from the calculation:
* energy relative to the elements, uncorrected: -1.71 eV per formula unit
* energy: -6.90 eV/atom

---

Q: What is the formula in the third record?
A: BaGeNO2

---

Copy entry 2 word for word.
# BaGeNO2

Crystalline BaGeNO2 at its relaxed geometry (PBE, the Alexandria database).

Cell: 4.0654 4.0654 3.9469 Å, 90.00 90.00 90.00°
Element x y z (fractional)
Ba (0.0000, 0.0000, 0.0000)
Ge (0.5000, 0.5000, 0.5000)
N (0.5000, 0.5000, 0.0000)
O (0.0000, 0.5000, 0.5000)
O (0.5000, 0.0000, 0.5000)

Values from the calculation:
* energy relative to the elements, uncorrected: -5.66 eV per formula unit
* energy: -6.09 eV/atom